This record from the Alexandria database describes Li4BiSb after structural relaxation. The functional is PBE.

Computed properties:
- energy relative to the lowest polymorph listed for this composition (meV/atom) = 0.0
- N(E_F) (states/eV/atom) = 0.221
- ΔE_f (raw) (meV/atom) = -485

```
data_Li4BiSb
_chemical_formula_sum 'Li8 Bi2 Sb2'
_cell_length_a 9.229
_cell_length_b 3.335
_cell_length_c 9.240
_cell_angle_alpha 90.00
_cell_angle_beta 115.63
_cell_angle_gamma 90.00
_symmetry_space_group_name_H-M 'C 1 2/m 1'
_symmetry_Int_Tables_number 12
_symmetry_space_group_name_Hall '-C 2y'
loop_
_atom_site_label
_atom_site_type_symbol
_atom_site_fract_x
_atom_site_fract_y
_atom_site_fract_z
Li1 Li 0.153 0.000 0.339
Li2 Li 0.155 0.500 0.852
Bi1 Bi 0.000 0.500 0.500
Sb1 Sb 0.000 0.000 0.000
```